Entry P
A plane-wave DFT calculation with PBE-GGA was carried out for an optimized crystal structure of OsO.

## Properties
Crystal system: orthorhombic

Cell: 6.744 4.620 5.584 Å, 90.00 90.00 90.00°
Space group Pmn2_1 (No. 31)
Asymmetric unit:
Os  0.000  0.140  0.000 [2 per cell]
Os  0.216  0.450  0.220 [4 per cell]
O  0.000  0.390  0.731 [2 per cell]
O  0.192  0.784  0.996 [4 per cell]

---

Entry Q
A plane-wave DFT calculation with PBE-GGA was carried out for an optimized crystal structure of OsO.

## Properties
Crystal system: hexagonal

Cell: 7.7882 7.7882 2.7304 Å, 90.00 90.00 120.00°
Space group P6_3/m (No. 176)
Asymmetric unit:
Os  0.1375  0.6723  0.2500 [6 per cell]
O  0.0260  0.2763  0.2500 [6 per cell]

---

Entry R
A plane-wave DFT calculation with PBE-GGA was carried out for an optimized crystal structure of OsO.

## Properties
Crystal system: tetragonal

Cell: 8.677 8.677 2.757 Å, 90.00 90.00 90.00°
Space group I4/mmm (No. 139)
Asymmetric unit:
Os  0.152  0.152  0.000 [8 per cell]
O  0.000  0.311  0.000 [8 per cell]

---

The winner here is entry R, beating the second structure by 86 meV/atom.

---

Entry P
A plane-wave DFT calculation with PBE-GGA was carried out for an optimized crystal structure of OsO.

## Properties
Crystal system: cubic

Cell: 4.500 4.500 4.500 Å, 90.00 90.00 90.00°
Space group Fm-3m (No. 225)
Asymmetric unit:
Os  0.000  0.000  0.000 [4 per cell]
O  0.000  0.000  0.500 [4 per cell]

---

Entry Q
A plane-wave DFT calculation with PBE-GGA was carried out for an optimized crystal structure of OsO.

## Properties
Crystal system: cubic

Cell: 5.813 5.813 5.813 Å, 90.00 90.00 90.00°
Space group Pm-3n (No. 223)
Asymmetric unit:
Os  0.000  0.250  0.500 [6 per cell]
O  0.000  0.500  0.250 [6 per cell]

---

Entry R
A plane-wave DFT calculation with PBE-GGA was carried out for an optimized crystal structure of OsO.

## Properties
Crystal system: orthorhombic

Cell: 2.710 2.971 7.249 Å, 90.00 90.00 90.00°
Space group Pmmn (No. 59, origin choice 2)
Asymmetric unit:
Os  0.250  0.250  0.118 [2 per cell]
O  0.250  0.750  0.689 [2 per cell]

---

Entry S
A plane-wave DFT calculation with PBE-GGA was carried out for an optimized crystal structure of OsO.

## Properties
Crystal system: cubic

Cell: 4.657 4.657 4.657 Å, 90.00 90.00 90.00°
Space group F-43m (No. 216)
Asymmetric unit:
Os  0.000  0.000  0.000 [4 per cell]
O  0.250  0.250  0.250 [4 per cell]

---

The winner here is entry R, beating the second structure by 856 meV/atom.